Compound: FeReSi2
Source: the Alexandria database
Functional: GGA-PBE
Structure: optimized geometry

a = 2.9011 Å, b = 2.9011 Å, c = 5.7452 Å
α = 90.00°, β = 90.00°, γ = 90.00°
Last column: nearest neighbours and their distance in Å.
Space group P4/mmm (No. 123)
Unique sites:
Fe  0.0000  0.0000  0.0000 [1 per cell]  8 Si 2.45
Re  0.0000  0.0000  0.5000 [1 per cell]  8 Si 2.56
Si  0.5000  0.5000  0.2344 [2 per cell]  4 Fe 2.45, 4 Re 2.56, 1 Si 2.69

## Properties
Raw formation energy   -0.256 eV per atom
Spin magnetization   0.0000 μB/atom